The following is a PBE calculation of crystalline Ce4AlGa3 at its relaxed geometry, from Alexandria via LeMat-Bulk. Values from VASP.

Geometry as Quantum ESPRESSO input:
```
&SYSTEM
  ibrav = 0, nat = 8, ntyp = 3
/
ATOMIC_SPECIES
Ce 140.12 Ce.upf
Al 26.98 Al.upf
Ga 69.72 Ga.upf
CELL_PARAMETERS angstrom
4.392 0.000 0.000
0.000 4.136 0.000
0.000 0.000 11.206
ATOMIC_POSITIONS angstrom
Ce 2.196 2.068 4.000
Ce 0.000 2.068 9.561
Ce 0.000 0.000 1.656
Ce 2.196 0.000 7.222
Al 2.196 2.068 0.759
Ga 0.000 2.068 6.403
Ga 0.000 0.000 4.820
Ga 2.196 0.000 10.401
```

The calculation puts the density of states at the Fermi level at 2.23 states/eV per atom. Its total energy is -39.81 eV/cell. The total moment is 4.117 Bohr magnetons per cell. The formation energy comes out at -0.41 eV/atom.